Entry 1:
{"formula": "CaTcP2", "functional": "SCAN", "state": "PBEsol geometry", "polymorph_energy_mev_per_atom": 0.0, "ef_ev_per_atom": -0.639, "e_tot_ev_per_atom": -17.0189, "crystal_system": "trigonal", "spacegroup": "R3m", "lattice_angstrom": [[1.909, 1.102, 5.802], [-1.909, 1.102, 5.802], [0.000, -2.205, 5.802]], "species": ["Ca", "Tc", "P", "P"], "frac_coords": [[0.000, 0.000, 0.000], [0.187, 0.187, 0.187], [0.555, 0.555, 0.555], [0.776, 0.776, 0.776]]}

Entry 2:
{"formula": "BeZn2Pt", "functional": "SCAN", "state": "PBEsol geometry", "ef_ev_per_atom": -0.406, "e_tot_ev_per_atom": -25.8002, "crystal_system": "tetragonal", "spacegroup": "P4mm", "lattice_angstrom": [[2.849, 0.000, 0.000], [0.000, 2.849, 0.000], [0.000, 0.000, 6.223]], "species": ["Be", "Zn", "Zn", "Pt"], "frac_coords": [[0.000, 0.000, 0.000], [0.000, 0.000, 0.484], [0.500, 0.500, 0.759], [0.500, 0.500, 0.192]]}

Entry 3:
{"formula": "KSi2Sb", "functional": "SCAN", "state": "PBEsol geometry", "e_tot_ev_per_atom": -16.1344, "e_form_raw_ev_per_atom": 0.271, "crystal_system": "monoclinic", "spacegroup": "P2/m", "lattice_angstrom": [[3.228, 0.000, 0.000], [0.000, 5.060, 0.000], [-0.483, 0.000, 6.510]], "species": ["K", "Si", "Si", "Sb"], "frac_coords": [[0.000, 0.000, 0.000], [0.268, 0.500, 0.644], [0.732, 0.500, 0.356], [0.500, 0.000, 0.500]]}

Entry 4:
{"formula": "SbPd3O", "functional": "SCAN", "state": "PBEsol geometry", "e_tot_ev_per_atom": -27.3479, "e_form_raw_ev_per_atom": 1.015, "crystal_system": "cubic", "spacegroup": "Pm-3m", "lattice_angstrom": [[4.864, 0.000, 0.000], [0.000, 4.864, 0.000], [0.000, 0.000, 4.864]], "species": ["Sb", "Pd", "Pd", "Pd", "O"], "frac_coords": [[0.000, 0.000, 0.000], [0.000, 0.000, 0.500], [0.000, 0.500, 0.000], [0.500, 0.000, 0.000], [0.500, 0.500, 0.500]]}

Entry 5:
{"formula": "Ba3MoN3", "functional": "SCAN", "state": "PBEsol geometry", "e_tot_ev_per_atom": -26.8085, "e_form_raw_ev_per_atom": -0.893, "crystal_system": "hexagonal", "spacegroup": "P6_3/m", "lattice_angstrom": [[8.343, 0.000, 0.000], [-4.171, 7.225, 0.000], [0.000, 0.000, 5.552]], "species": ["Ba", "Ba", "Ba", "Ba", "Ba", "Ba", "Mo", "Mo", "N", "N", "N", "N", "N", "N"], "frac_coords": [[0.091, 0.733, 0.250], [0.267, 0.358, 0.250], [0.358, 0.091, 0.750], [0.642, 0.909, 0.250], [0.733, 0.642, 0.750], [0.909, 0.267, 0.750], [0.333, 0.667, 0.750], [0.667, 0.333, 0.250], [0.123, 0.686, 0.750], [0.314, 0.437, 0.750], [0.437, 0.123, 0.250], [0.563, 0.877, 0.750], [0.686, 0.563, 0.250], [0.877, 0.314, 0.250]]}

Entry 6:
{"formula": "SrCa3Tl", "functional": "SCAN", "state": "PBEsol geometry", "ef_ev_per_atom": -0.181, "e_tot_ev_per_atom": -24.9061, "crystal_system": "cubic", "spacegroup": "Pm-3m", "lattice_angstrom": [[6.011, 0.000, 0.000], [0.000, 6.011, 0.000], [0.000, 0.000, 6.011]], "species": ["Sr", "Ca", "Ca", "Ca", "Tl"], "frac_coords": [[0.000, 0.000, 0.000], [0.000, 0.500, 0.500], [0.500, 0.000, 0.500], [0.500, 0.500, 0.000], [0.500, 0.500, 0.500]]}

Entry 7:
{"formula": "In2OsPdRu", "functional": "SCAN", "state": "PBEsol geometry", "ef_ev_per_atom": 1.615, "e_tot_ev_per_atom": -39.6360, "crystal_system": "tetragonal", "spacegroup": "P4/mmm", "lattice_angstrom": [[4.921, 0.000, 0.000], [0.000, 4.921, 0.000], [0.000, 0.000, 4.567]], "species": ["In", "In", "Os", "Pd", "Ru"], "frac_coords": [[0.000, 0.500, 0.000], [0.500, 0.000, 0.000], [0.000, 0.000, 0.500], [0.500, 0.500, 0.500], [0.500, 0.500, 0.000]]}

Entry 8:
{"formula": "YErO3", "functional": "SCAN", "state": "PBEsol geometry", "e_tot_ev_per_atom": -23.2497, "e_form_raw_ev_per_atom": -3.874, "crystal_system": "orthorhombic", "spacegroup": "Pnma", "lattice_angstrom": [[5.847, 0.000, 0.000], [0.000, 8.284, 0.000], [0.000, 0.000, 5.582]], "species": ["Y", "Y", "Y", "Y", "Er", "Er", "Er", "Er", "O", "O", "O", "O", "O", "O", "O", "O", "O", "O", "O", "O"], "frac_coords": [[0.055, 0.250, 0.021], [0.445, 0.750, 0.521], [0.555, 0.250, 0.479], [0.945, 0.750, 0.979], [0.000, 0.000, 0.500], [0.000, 0.500, 0.500], [0.500, 0.000, 0.000], [0.500, 0.500, 0.000], [0.080, 0.750, 0.349], [0.190, 0.581, 0.813], [0.190, 0.919, 0.813], [0.310, 0.081, 0.313], [0.310, 0.419, 0.313], [0.420, 0.250, 0.849], [0.580, 0.750, 0.151], [0.690, 0.581, 0.687], [0.690, 0.919, 0.687], [0.810, 0.081, 0.187], [0.810, 0.419, 0.187], [0.920, 0.250, 0.651]]}

Entry 9:
{"formula": "In2NiAu", "functional": "SCAN", "state": "PBEsol geometry", "polymorph_energy_mev_per_atom": 181.5, "ef_ev_per_atom": 0.036, "e_tot_ev_per_atom": -37.9896, "crystal_system": "trigonal", "spacegroup": "R-3m", "lattice_angstrom": [[1.566, 0.904, 8.394], [-1.566, 0.904, 8.394], [0.000, -1.808, 8.394]], "species": ["In", "In", "Ni", "Au"], "frac_coords": [[0.243, 0.243, 0.243], [0.757, 0.757, 0.757], [0.500, 0.500, 0.500], [0.000, 0.000, 0.000]]}

Entry 10:
{"formula": "LaIr2", "functional": "SCAN", "state": "PBEsol geometry", "ef_ev_per_atom": -0.169, "e_tot_ev_per_atom": -61.9372, "crystal_system": "tetragonal", "spacegroup": "I4/mmm", "lattice_angstrom": [[-1.776, 1.776, 4.890], [1.776, -1.776, 4.890], [1.776, 1.776, -4.890]], "species": ["La", "Ir", "Ir"], "frac_coords": [[0.000, 0.000, 0.000], [0.284, 0.284, 0.000], [0.716, 0.716, 0.000]]}

Entry 11:
{"formula": "AlRuPb2", "functional": "SCAN", "state": "PBEsol geometry", "ef_ev_per_atom": 0.055, "e_tot_ev_per_atom": -48.4797, "crystal_system": "monoclinic", "spacegroup": "Cm", "lattice_angstrom": [[4.357, -1.597, 0.000], [4.357, 1.597, 0.000], [-2.272, 0.000, 6.641]], "species": ["Al", "Ru", "Pb", "Pb"], "frac_coords": [[0.000, 0.000, 0.000], [0.715, 0.715, 0.992], [0.192, 0.192, 0.663], [0.362, 0.362, 0.328]]}

Entry 12:
{"formula": "BeP2Br", "functional": "SCAN", "state": "PBEsol geometry", "e_tot_ev_per_atom": -10.8211, "e_form_raw_ev_per_atom": 0.332, "crystal_system": "trigonal", "spacegroup": "R-3m", "lattice_angstrom": [[1.730, 0.999, 6.322], [-1.730, 0.999, 6.322], [0.000, -1.998, 6.322]], "species": ["Be", "P", "P", "Br"], "frac_coords": [[0.000, 0.000, 0.000], [0.281, 0.281, 0.281], [0.719, 0.719, 0.719], [0.500, 0.500, 0.500]]}